## SmTh2Rh2 (PBE)

Data for an optimized crystal structure of SmTh2Rh2.

## Properties
* calculated total energy: -36.92 eV per cell
* crystal system: monoclinic
* energy above the lowest structure with this stoichiometry: 17.59 kJ/mol of atoms
* space group: C2/m (12)
* magnetic moment: 0.00 Bohr magnetons per cell
* formation energy: -0.532 eV/atom

Cell: 5.179 5.179 6.126 Å, 115.15 115.15 90.00°
Positions (direct):
Sm 0.000 0.000 0.000
Th 0.250 0.750 0.500
Th 0.750 0.250 0.500
Rh 0.636 0.636 0.274
Rh 0.364 0.364 0.726